Version i
VASP calculation (PBE-GGA) on a geometry-optimized HfVS3 structure.

Lattice parameters (Å, degrees): 4.8962 4.8962 4.8962 90.00 90.00 90.00
Last column: nearest neighbours and their distance in Å.
Fractional positions:
Hf 0.0000 0.0000 0.0000  6 S 2.45
V 0.5000 0.5000 0.5000  12 S 3.46
S 0.0000 0.0000 0.5000  2 Hf 2.45
S 0.0000 0.5000 0.0000  2 Hf 2.45
S 0.5000 0.0000 0.0000  2 Hf 2.45

The total magnetic moment comes out at 2.995 Bohr magnetons per cell.

Version ii
VASP calculation (PBE-GGA) on a geometry-optimized HfVS3 structure.

Lattice parameters (Å, degrees): 4.5297 4.5297 4.5297 90.00 90.00 90.00
Last column: nearest neighbours and their distance in Å.
Fractional positions:
Hf 0.0000 0.0000 0.0000  12 S 3.20
V 0.5000 0.5000 0.5000  6 S 2.26
S 0.0000 0.5000 0.5000  2 V 2.26
S 0.5000 0.0000 0.5000  2 V 2.26
S 0.5000 0.5000 0.0000  2 V 2.26

The total magnetic moment comes out at 2.076 Bohr magnetons per cell.

Version iii
VASP calculation (PBE-GGA) on a geometry-optimized HfVS3 structure.

Lattice parameters (Å, degrees): 10.2989 10.2989 6.1899 90.00 90.00 159.62
Last column: nearest neighbours and their distance in Å.
Fractional positions:
Hf 0.1669 0.8331 0.5000  6 S 2.49-2.74
Hf 0.8331 0.1669 0.0000  6 S 2.49-2.74
V 0.3730 0.6270 0.5999  4 S 2.31-2.36
V 0.6270 0.3730 0.0999  4 S 2.31-2.36
S 0.0724 0.9276 0.2427  2 V 2.31, 1 Hf 2.49
S 0.2708 0.7292 0.7836  1 V 2.36, 2 Hf 2.59
S 0.3839 0.6161 0.2261  1 V 2.32, 2 Hf 2.52
S 0.6161 0.3839 0.7261  1 V 2.32, 2 Hf 2.52
S 0.7292 0.2708 0.2836  1 V 2.36, 2 Hf 2.59
S 0.9276 0.0724 0.7427  2 V 2.31, 1 Hf 2.49

The total magnetic moment comes out at 5.369 Bohr magnetons per cell.

Structures ranked by computed energy, the most stable listed first: version iii, version i, version ii.

Version i
VASP calculation (PBE-GGA) on a geometry-optimized HfV3S structure.

Lattice parameters (Å, degrees): 4.3256 4.3256 4.3256 90.00 90.00 90.00
Last column: nearest neighbours and their distance in Å.
Fractional positions:
Hf 0.0000 0.0000 0.0000  12 V 3.06
V 0.0000 0.5000 0.5000  2 S 2.16
V 0.5000 0.0000 0.5000  2 S 2.16
V 0.5000 0.5000 0.0000  2 S 2.16
S 0.5000 0.5000 0.5000  6 V 2.16

The total magnetic moment comes out at 0.705 Bohr magnetons per cell.

Version ii
VASP calculation (PBE-GGA) on a geometry-optimized HfV3S structure.

Lattice parameters (Å, degrees): 4.6733 4.6733 4.6733 90.00 90.00 90.00
Last column: nearest neighbours and their distance in Å.
Fractional positions:
Hf 0.0000 0.0000 0.0000  6 V 2.34
V 0.0000 0.0000 0.5000  2 Hf 2.34
V 0.0000 0.5000 0.0000  2 Hf 2.34
V 0.5000 0.0000 0.0000  2 Hf 2.34
S 0.5000 0.5000 0.5000  12 V 3.30

The total magnetic moment comes out at 0.933 Bohr magnetons per cell.

Structures ranked by computed energy, the most stable listed first: version i, version ii.

Version i
VASP calculation (PBE-GGA) on a geometry-optimized HfVS2 structure.

Lattice parameters (Å, degrees): 4.3744 4.3744 4.3744 60.00 60.00 60.00
Last column: nearest neighbours and their distance in Å.
Fractional positions:
Hf 0.0000 0.0000 0.0000  8 S 2.68
V 0.5000 0.5000 0.5000  8 S 2.68
S 0.2500 0.2500 0.2500  4 V 2.68, 4 Hf 2.68
S 0.7500 0.7500 0.7500  4 Hf 2.68, 4 V 2.68

The total magnetic moment comes out at 0.896 Bohr magnetons per cell.

Version ii
VASP calculation (PBE-GGA) on a geometry-optimized HfVS2 structure.

Lattice parameters (Å, degrees): 6.7845 6.7845 6.7845 132.11 132.11 70.05
Last column: nearest neighbours and their distance in Å.
Fractional positions:
Hf 0.0000 0.0000 0.0000  4 S 2.45
Hf 0.7500 0.2500 0.5000  4 S 2.45
V 0.2500 0.7500 0.5000  4 S 2.33
V 0.5000 0.5000 0.0000  4 S 2.33
S 0.1443 0.6250 0.0193  2 V 2.33, 2 Hf 2.45
S 0.3750 0.3943 0.5193  2 V 2.33, 2 Hf 2.45
S 0.6057 0.1250 0.9807  2 V 2.33, 2 Hf 2.45
S 0.8750 0.8557 0.4807  2 V 2.33, 2 Hf 2.45

The total magnetic moment comes out at 5.012 Bohr magnetons per cell.

Structures ranked by computed energy, the most stable listed first: version i, version ii.

Version i
VASP calculation (PBE-GGA) on a geometry-optimized Hf3WS structure.

Lattice parameters (Å, degrees): 5.0694 5.0694 5.0694 90.00 90.00 90.00
Last column: nearest neighbours and their distance in Å.
Fractional positions:
Hf 0.0000 0.0000 0.5000  2 W 2.53
Hf 0.0000 0.5000 0.0000  2 W 2.53
Hf 0.5000 0.0000 0.0000  2 W 2.53
W 0.0000 0.0000 0.0000  6 Hf 2.53
S 0.5000 0.5000 0.5000  12 Hf 3.58

The total magnetic moment comes out at 0.000 Bohr magnetons per cell.

Version ii
VASP calculation (PBE-GGA) on a geometry-optimized Hf3WS structure.

Lattice parameters (Å, degrees): 4.6883 4.6883 4.6883 90.00 90.00 90.00
Last column: nearest neighbours and their distance in Å.
Fractional positions:
Hf 0.0000 0.0000 0.5000  2 S 2.34
Hf 0.0000 0.5000 0.0000  2 S 2.34
Hf 0.5000 0.0000 0.0000  2 S 2.34
W 0.5000 0.5000 0.5000  12 Hf 3.32
S 0.0000 0.0000 0.0000  6 Hf 2.34

The total magnetic moment comes out at 0.000 Bohr magnetons per cell.

Structures ranked by computed energy, the most stable listed first: version ii, version i.

Version i
VASP calculation (PBE-GGA) on a geometry-optimized HfWS2 structure.

Lattice parameters (Å, degrees): 4.3917 4.3917 4.3917 60.00 60.00 60.00
Last column: nearest neighbours and their distance in Å.
Fractional positions:
Hf 0.0000 0.0000 0.0000  8 S 2.69
W 0.5000 0.5000 0.5000  8 S 2.69
S 0.2500 0.2500 0.2500  4 W 2.69, 4 Hf 2.69
S 0.7500 0.7500 0.7500  4 W 2.69, 4 Hf 2.69

The total magnetic moment comes out at 0.000 Bohr magnetons per cell.

Version ii
VASP calculation (PBE-GGA) on a geometry-optimized HfWS2 structure.

Lattice parameters (Å, degrees): 7.8617 7.8617 7.8617 145.67 145.67 49.33
Last column: nearest neighbours and their distance in Å.
Fractional positions:
Hf 0.0000 0.0000 0.0000  4 S 2.50
Hf 0.7500 0.2500 0.5000  4 S 2.50
W 0.2500 0.7500 0.5000  4 S 2.36
W 0.5000 0.5000 0.0000  4 S 2.36
S 0.1558 0.6250 0.0308  2 W 2.36, 2 Hf 2.50
S 0.3750 0.4058 0.5308  2 W 2.36, 2 Hf 2.50
S 0.5942 0.1250 0.9692  2 W 2.36, 2 Hf 2.50
S 0.8750 0.8442 0.4692  2 W 2.36, 2 Hf 2.50

The total magnetic moment comes out at 0.000 Bohr magnetons per cell.

Structures ranked by computed energy, the most stable listed first: version i, version ii.

Version i
VASP calculation (PBE-GGA) on a geometry-optimized HfWS3 structure.

Lattice parameters (Å, degrees): 4.6363 4.6363 4.6363 90.00 90.00 90.00
Last column: nearest neighbours and their distance in Å.
Fractional positions:
Hf 0.0000 0.0000 0.0000  12 S 3.28
W 0.5000 0.5000 0.5000  6 S 2.32
S 0.0000 0.5000 0.5000  2 W 2.32
S 0.5000 0.0000 0.5000  2 W 2.32
S 0.5000 0.5000 0.0000  2 W 2.32

The total magnetic moment comes out at 0.992 Bohr magnetons per cell.

Version ii
VASP calculation (PBE-GGA) on a geometry-optimized HfWS3 structure.

Lattice parameters (Å, degrees): 4.8694 4.8694 4.8694 90.00 90.00 90.00
Last column: nearest neighbours and their distance in Å.
Fractional positions:
Hf 0.0000 0.0000 0.0000  6 S 2.43
W 0.5000 0.5000 0.5000  12 S 3.44
S 0.0000 0.0000 0.5000  2 Hf 2.43
S 0.0000 0.5000 0.0000  2 Hf 2.43
S 0.5000 0.0000 0.0000  2 Hf 2.43

The total magnetic moment comes out at 4.000 Bohr magnetons per cell.

Structures ranked by computed energy, the most stable listed first: version i, version ii.

Version i
VASP calculation (PBE-GGA) on a geometry-optimized Y2HfS5 structure.

Lattice parameters (Å, degrees): 7.0677 7.0677 12.7441 90.00 90.00 136.91
Last column: nearest neighbours and their distance in Å.
Fractional positions:
Y 0.1452 0.8548 0.5615  6 S 2.67-2.87
Y 0.1452 0.8548 0.9385  6 S 2.67-2.87
Y 0.8548 0.1452 0.0615  6 S 2.67-2.87
Y 0.8548 0.1452 0.4385  6 S 2.67-2.87
Hf 0.1901 0.8099 0.2500  6 S 2.46-2.66
Hf 0.8099 0.1901 0.7500  6 S 2.46-2.66
S 0.0489 0.9511 0.1231  1 Hf 2.46, 2 Y 2.67
S 0.0489 0.9511 0.3769  1 Hf 2.46, 2 Y 2.67
S 0.2651 0.7349 0.7500  2 Hf 2.66, 2 Y 2.87
S 0.3074 0.6926 0.0850  1 Hf 2.61, 3 Y 2.69-2.83
S 0.3074 0.6926 0.4150  1 Hf 2.61, 3 Y 2.69-2.83
S 0.6926 0.3074 0.5850  1 Hf 2.61, 3 Y 2.69-2.83
S 0.6926 0.3074 0.9150  1 Hf 2.61, 3 Y 2.69-2.83
S 0.7349 0.2651 0.2500  2 Hf 2.66, 2 Y 2.87
S 0.9511 0.0489 0.6231  1 Hf 2.46, 2 Y 2.67
S 0.9511 0.0489 0.8769  1 Hf 2.46, 2 Y 2.67

The total magnetic moment comes out at 0.000 Bohr magnetons per cell.

Version ii
VASP calculation (PBE-GGA) on a geometry-optimized Y2HfS5 structure.

Lattice parameters (Å, degrees): 11.5707 7.7491 7.2679 90.00 90.00 90.00
Last column: nearest neighbours and their distance in Å.
Fractional positions:
Y 0.1789 0.0028 0.0216  8 S 2.82-2.99
Y 0.1789 0.4972 0.0216  8 S 2.82-2.99
Y 0.3211 0.5028 0.5216  8 S 2.82-2.99
Y 0.3211 0.9972 0.5216  8 S 2.82-2.99
Y 0.6789 0.0028 0.4784  8 S 2.82-2.99
Y 0.6789 0.4972 0.4784  8 S 2.82-2.99
Y 0.8211 0.5028 0.9784  8 S 2.82-2.99
Y 0.8211 0.9972 0.9784  8 S 2.82-2.99
Hf 0.0059 0.7500 0.5758  7 S 2.51-2.69
Hf 0.4941 0.2500 0.0758  7 S 2.51-2.69
Hf 0.5059 0.7500 0.9242  7 S 2.51-2.69
Hf 0.9941 0.2500 0.4242  7 S 2.51-2.69
S 0.0036 0.7500 0.9458  1 Hf 2.69, 4 Y 2.86-2.87
S 0.0934 0.0363 0.6600  2 Hf 2.51-2.65
S 0.0934 0.4637 0.6600  2 Hf 2.51-2.65
S 0.1805 0.7500 0.3323  1 Hf 2.69, 4 Y 2.86-2.99
S 0.2067 0.2500 0.3106  1 Hf 2.59, 4 Y 2.82-2.86
S 0.2933 0.7500 0.8106  1 Hf 2.59, 4 Y 2.82-2.86
S 0.3195 0.2500 0.8323  1 Hf 2.69, 4 Y 2.86-2.99
S 0.4066 0.5363 0.1600  2 Hf 2.51-2.65
S 0.4066 0.9637 0.1600  2 Hf 2.51-2.65
S 0.4964 0.2500 0.4458  1 Hf 2.69, 4 Y 2.86-2.87
S 0.5036 0.7500 0.5542  1 Hf 2.69, 4 Y 2.86-2.87
S 0.5934 0.0363 0.8400  2 Hf 2.51-2.65
S 0.5934 0.4637 0.8400  2 Hf 2.51-2.65
S 0.6805 0.7500 0.1677  1 Hf 2.69, 4 Y 2.86-2.99
S 0.7067 0.2500 0.1894  1 Hf 2.59, 4 Y 2.82-2.86
S 0.7933 0.7500 0.6894  1 Hf 2.59, 4 Y 2.82-2.86
S 0.8195 0.2500 0.6677  1 Hf 2.69, 4 Y 2.86-2.99
S 0.9066 0.5363 0.3400  2 Hf 2.51-2.65
S 0.9066 0.9637 0.3400  2 Hf 2.51-2.65
S 0.9964 0.2500 0.0542  1 Hf 2.69, 4 Y 2.86-2.87

The total magnetic moment comes out at 0.000 Bohr magnetons per cell.

Structures ranked by computed energy, the most stable listed first: version ii, version i.

Version i
VASP calculation (PBE-GGA) on a geometry-optimized Y3HfS structure.

Lattice parameters (Å, degrees): 5.5239 5.5239 5.5239 90.00 90.00 90.00
Last column: nearest neighbours and their distance in Å.
Fractional positions:
Y 0.0000 0.0000 0.5000  2 Hf 2.76
Y 0.0000 0.5000 0.0000  2 Hf 2.76
Y 0.5000 0.0000 0.0000  2 Hf 2.76
Hf 0.0000 0.0000 0.0000  6 Y 2.76
S 0.5000 0.5000 0.5000  12 Y 3.91

The total magnetic moment comes out at 0.000 Bohr magnetons per cell.

Version ii
VASP calculation (PBE-GGA) on a geometry-optimized Y3HfS structure.

Lattice parameters (Å, degrees): 5.2077 5.2077 5.2077 90.00 90.00 90.00
Last column: nearest neighbours and their distance in Å.
Fractional positions:
Y 0.0000 0.0000 0.5000  2 S 2.60
Y 0.0000 0.5000 0.0000  2 S 2.60
Y 0.5000 0.0000 0.0000  2 S 2.60
Hf 0.5000 0.5000 0.5000  12 Y 3.68
S 0.0000 0.0000 0.0000  6 Y 2.60

The total magnetic moment comes out at 0.838 Bohr magnetons per cell.

Structures ranked by computed energy, the most stable listed first: version ii, version i.

Version i
VASP calculation (PBE-GGA) on a geometry-optimized HfZr3S structure.

Lattice parameters (Å, degrees): 5.1771 5.1771 5.1771 90.00 90.00 90.00
Last column: nearest neighbours and their distance in Å.
Fractional positions:
Hf 0.0000 0.0000 0.0000  6 Zr 2.59
Zr 0.0000 0.0000 0.5000  2 Hf 2.59
Zr 0.0000 0.5000 0.0000  2 Hf 2.59
Zr 0.5000 0.0000 0.0000  2 Hf 2.59
S 0.5000 0.5000 0.5000  12 Zr 3.66

The total magnetic moment comes out at 0.000 Bohr magnetons per cell.

Version ii
VASP calculation (PBE-GGA) on a geometry-optimized HfZr3S structure.

Lattice parameters (Å, degrees): 6.7543 6.7543 6.7543 120.15 90.97 118.74
Last column: nearest neighbours and their distance in Å.
Fractional positions:
Hf 0.2726 0.0226 0.2500  2 S 2.52
Hf 0.7274 0.9774 0.7500  2 S 2.52
Zr 0.2651 0.0000 0.7651  1 S 2.51
Zr 0.2651 0.5000 0.2651  1 S 2.51
Zr 0.2782 0.5282 0.7500  2 S 2.55
Zr 0.7218 0.4718 0.2500  2 S 2.55
Zr 0.7349 0.0000 0.2349  1 S 2.51
Zr 0.7349 0.5000 0.7349  1 S 2.51
S 0.0000 0.0000 0.5000  4 Zr 2.51-2.55, 2 Hf 2.52
S 0.0000 0.5000 0.0000  4 Zr 2.51-2.55, 2 Hf 2.52

The total magnetic moment comes out at 0.000 Bohr magnetons per cell.

Version iii
VASP calculation (PBE-GGA) on a geometry-optimized HfZr3S structure.

Lattice parameters (Å, degrees): 4.8511 4.8511 4.8511 90.00 90.00 90.00
Last column: nearest neighbours and their distance in Å.
Fractional positions:
Hf 0.0000 0.0000 0.0000  12 Zr 3.43
Zr 0.0000 0.5000 0.5000  2 S 2.43
Zr 0.5000 0.0000 0.5000  2 S 2.43
Zr 0.5000 0.5000 0.0000  2 S 2.43
S 0.5000 0.5000 0.5000  6 Zr 2.43

The total magnetic moment comes out at 0.000 Bohr magnetons per cell.

Structures ranked by computed energy, the most stable listed first: version ii, version iii, version i.

Version i
VASP calculation (PBE-GGA) on a geometry-optimized HfZr2S2 structure.

Lattice parameters (Å, degrees): 7.6749 7.6749 3.1920 90.00 90.00 90.00
Last column: nearest neighbours and their distance in Å.
Fractional positions:
Hf 0.0000 0.0000 0.0000  4 Zr 2.92, 2 Hf 3.19
Hf 0.5000 0.5000 0.0000  4 Zr 2.92, 2 Hf 3.19
Zr 0.1507 0.3493 0.0000  6 S 2.73-2.77, 2 Hf 2.92
Zr 0.3493 0.8493 0.0000  6 S 2.73-2.77, 2 Hf 2.92
Zr 0.6507 0.1507 0.0000  6 S 2.73-2.77, 2 Hf 2.92
Zr 0.8493 0.6507 0.0000  6 S 2.73-2.77, 2 Hf 2.92
S 0.1448 0.6448 0.5000  6 Zr 2.73-2.77
S 0.3552 0.1448 0.5000  6 Zr 2.73-2.77
S 0.6448 0.8552 0.5000  6 Zr 2.73-2.77
S 0.8552 0.3552 0.5000  6 Zr 2.73-2.77

The total magnetic moment comes out at 0.000 Bohr magnetons per cell.

Version ii
VASP calculation (PBE-GGA) on a geometry-optimized HfZr2S2 structure.

Lattice parameters (Å, degrees): 7.1407 7.1407 3.4663 90.00 90.00 90.00
Last column: nearest neighbours and their distance in Å.
Fractional positions:
Hf 0.0000 0.0000 0.0000  4 S 2.72
Hf 0.5000 0.5000 0.0000  4 S 2.72
Zr 0.1583 0.3417 0.5000  6 S 2.61-2.79
Zr 0.3417 0.8417 0.5000  6 S 2.61-2.79
Zr 0.6583 0.1583 0.5000  6 S 2.61-2.79
Zr 0.8417 0.6583 0.5000  6 S 2.61-2.79
S 0.1485 0.6485 0.0000  6 Zr 2.61-2.79, 2 Hf 2.72
S 0.3515 0.1485 0.0000  6 Zr 2.61-2.79, 2 Hf 2.72
S 0.6485 0.8515 0.0000  6 Zr 2.61-2.79, 2 Hf 2.72
S 0.8515 0.3515 0.0000  6 Zr 2.61-2.79, 2 Hf 2.72

The total magnetic moment comes out at 0.000 Bohr magnetons per cell.

Version iii
VASP calculation (PBE-GGA) on a geometry-optimized HfZr2S2 structure.

Lattice parameters (Å, degrees): 5.6501 5.6501 5.6501 129.77 129.77 73.77
Last column: nearest neighbours and their distance in Å.
Fractional positions:
Hf 0.0000 0.0000 0.0000  2 Zr 3.14, 8 S 3.29
Zr 0.3478 0.3478 0.0000  4 S 2.56, 1 Zr 2.75
Zr 0.6522 0.6522 0.0000  4 S 2.56, 1 Zr 2.75
S 0.2500 0.7500 0.5000  4 Zr 2.56
S 0.7500 0.2500 0.5000  4 Zr 2.56

The total magnetic moment comes out at 0.000 Bohr magnetons per cell.

Structures ranked by computed energy, the most stable listed first: version ii, version i, version iii.